First-principles (PBE) data for a relaxed structure of DyLu2In3CuAg2, as listed in OQMD via LeMat-Bulk.

Results
VASP energy, eV per atom: -3.883
Magnetization, μB per formula unit: 0.000

Cell: 3.8315 7.7672 7.7672 Å, 120.28 90.00 90.00°
Closest atoms and distances in Å follow each position.
Sites, in units of the cell vectors:
1 Ag 0.5000 0.6695 0.3318  3 In 2.91-2.97, 4 Lu 3.03, 2 Dy 3.07
2 Ag 0.5000 0.3318 0.6695  3 In 2.91-2.97, 4 Lu 3.03, 2 Dy 3.07
3 Cu 0.0000 0.9988 0.9988  6 In 2.73-2.75
4 Dy 0.0000 0.4024 0.4024  4 Ag 3.07, 1 Cu 3.12, 6 In 3.28-3.34
5 In 0.5000 0.9986 0.2526  2 Cu 2.75, 2 Ag 2.91-2.96
6 In 0.5000 0.7469 0.7469  2 Cu 2.73, 2 Ag 2.97
7 In 0.5000 0.2526 0.9986  2 Cu 2.75, 2 Ag 2.91-2.96
8 Lu 0.0000 0.5993 0.0002  4 Ag 3.03, 1 Cu 3.11, 6 In 3.30-3.34
9 Lu 0.0000 0.0002 0.5993  4 Ag 3.03, 1 Cu 3.11, 6 In 3.30-3.34